(1)
A plane-wave DFT calculation with PBE was carried out for crystalline Ac2Sm7Er4 at its relaxed geometry.

abc: 6.274 6.274 13.262
angles: 90.00 90.00 120.00
Element x y z (fractional)
1 Er 0.667 0.333 0.500
2 Er 0.000 0.000 0.394
3 Er 0.000 0.000 0.606
4 Er 0.333 0.667 0.500
5 Sm 0.369 0.369 0.228
6 Sm 0.000 0.631 0.228
7 Sm 0.000 0.369 0.772
8 Sm 0.631 0.000 0.228
9 Sm 0.000 0.000 0.000
10 Sm 0.631 0.631 0.772
11 Sm 0.369 0.000 0.772
12 Ac 0.333 0.667 0.000
13 Ac 0.667 0.333 0.000

Summary:
Density of states at the Fermi level   1.479 states/eV per atom
Volume   34.77 Å³/atom
Final energy   -0.1601 hartree per atom
Total magnetization   0.00 μB/cell
Energy relative to the elements   2.872 eV per formula unit

(2)
A plane-wave DFT calculation with PBE was carried out for crystalline Te3Ir at its relaxed geometry.

abc: 5.142 3.130 8.510
angles: 90.00 91.68 90.00
Element x y z (fractional)
1 Ir 0.114 0.000 0.705
2 Te 0.098 0.000 0.388
3 Te 0.609 0.000 0.604
4 Te 0.126 0.500 0.947

Summary:
Density of states at the Fermi level   0.827 states/eV per atom
Volume   34.22 Å³/atom
Final energy   -0.1622 hartree per atom
Total magnetization   0.00 μB/cell

(3)
A plane-wave DFT calculation with PBE was carried out for crystalline Ti2NiPd at its relaxed geometry.

abc: 2.875 4.743 8.859
angles: 84.51 99.35 90.03
Element x y z (fractional)
1 Ti 0.055 0.757 0.110
2 Ti 0.822 0.850 0.645
3 Ti 0.178 0.150 0.355
4 Ti 0.945 0.243 0.890
5 Pd 0.686 0.643 0.372
6 Pd 0.314 0.357 0.628
7 Ni 0.439 0.697 0.879
8 Ni 0.561 0.303 0.121

Summary:
Density of states at the Fermi level   1.201 states/eV per atom
Volume   14.83 Å³/atom
Final energy   -0.2615 hartree per atom
Total magnetization   0.01 μB/cell
Energy relative to the elements   -1.702 eV per formula unit

(4)
A plane-wave DFT calculation with PBE was carried out for crystalline CeZnH6Ir2 at its relaxed geometry.

abc: 4.531 4.531 5.862
angles: 67.26 67.26 60.00
Last column: magnetic moment on the atom in μB.
Element x y z (fractional)
1 H 0.558 0.062 0.822  0.00
2 H 0.062 0.558 0.822  0.00
3 H 0.938 0.442 0.178  0.00
4 H 0.442 0.938 0.178  0.00
5 H 0.558 0.558 0.822  0.00
6 H 0.442 0.442 0.178  0.00
7 Ce 0.000 0.000 0.000  0.25
8 Ir 0.789 0.789 0.632  -0.02
9 Ir 0.211 0.211 0.368  -0.02
10 Zn 0.500 0.500 0.500  0.00

Summary:
Density of states at the Fermi level   0.329 states/eV per atom
Volume   9.33 Å³/atom
Final energy   -0.1778 hartree per atom
Total magnetization   0.22 μB/cell

(5)
A plane-wave DFT calculation with PBE was carried out for crystalline DyEr6Fe2 at its relaxed geometry.

abc: 8.441 8.441 8.441
angles: 107.83 111.39 109.21
Last column: magnetic moment on the atom in μB.
Element x y z (fractional)
1 Fe 0.307 0.307 0.000  -0.27
2 Fe 0.693 0.693 0.000  -0.27
3 Fe 0.500 0.891 0.391  1.20
4 Fe 0.500 0.109 0.609  1.20
5 Er 0.783 0.541 0.758  -0.04
6 Er 0.470 0.187 0.283  -0.09
7 Er 0.783 0.025 0.242  -0.04
8 Er 0.217 0.459 0.242  -0.04
9 Er 0.683 0.678 0.361  -0.05
10 Er 0.317 0.678 0.995  -0.05
11 Er 0.217 0.975 0.758  -0.04
12 Er 0.530 0.813 0.717  -0.09
13 Er 0.683 0.322 0.005  -0.05
14 Er 0.097 0.813 0.283  -0.09
15 Er 0.317 0.322 0.639  -0.05
16 Er 0.903 0.187 0.717  -0.09
17 Dy 0.000 0.000 0.000  0.10
18 Dy 0.000 0.500 0.500  -0.08

Summary:
Density of states at the Fermi level   1.071 states/eV per atom
Volume   25.70 Å³/atom
Final energy   -0.1986 hartree per atom
Total magnetization   0.98 μB/cell
Energy relative to the elements   0.270 eV per formula unit

(6)
A plane-wave DFT calculation with PBE was carried out for crystalline Ni2HgAs at its relaxed geometry.

abc: 3.028 3.018 7.134
angles: 65.22 90.00 90.00
Element x y z (fractional)
1 Ni 0.000 0.951 0.047
2 Ni 0.000 0.549 0.453
3 As 0.500 0.250 0.250
4 Hg 0.500 0.750 0.750

Summary:
Density of states at the Fermi level   0.609 states/eV per atom
Volume   14.80 Å³/atom
Final energy   -0.1502 hartree per atom
Total magnetization   0.00 μB/cell
Energy relative to the elements   0.168 eV per formula unit